[1]
DFT (PBE-GGA) results for an optimized crystal structure of CaTm4Si4.

```
data_CaTm4Si4
_chemical_formula_sum 'Ca2 Tm8 Si8'
_cell_length_a 9.2271
_cell_length_b 9.2271
_cell_length_c 5.6399
_cell_angle_alpha 90.00
_cell_angle_beta 90.00
_cell_angle_gamma 90.00
_symmetry_space_group_name_H-M 'P 42/n'
_symmetry_Int_Tables_number 86
loop_
_symmetry_equiv_pos_as_xyz
'x,y,z'
'-x,-y,-z'
'-y,x+1/2,z+1/2'
'y,-x+1/2,-z+1/2'
'-x+1/2,-y+1/2,z'
'x+1/2,y+1/2,-z'
'y+1/2,-x,z+1/2'
'-y+1/2,x,-z+1/2'
loop_
_atom_site_label
_atom_site_fract_x
_atom_site_fract_y
_atom_site_fract_z
Ca1 0.2500 0.2500 0.2500
Tm1 0.1090 0.6345 0.1284
Si1 0.0521 0.5876 0.6375
```

Values from the calculation:
The raw total energy is -92.06 eV per cell. The calculation puts the energy relative to the elements, uncorrected at -0.4942 eV/atom.

---

[2]
DFT (PBE-GGA) results for an optimized crystal structure of CaTmSi.

```
data_CaTmSi
_chemical_formula_sum 'Ca2 Tm2 Si2'
_cell_length_a 4.6198
_cell_length_b 4.6198
_cell_length_c 7.6440
_cell_angle_alpha 90.00
_cell_angle_beta 90.00
_cell_angle_gamma 90.00
_symmetry_space_group_name_H-M 'P 4/n m m'
_symmetry_Int_Tables_number 129
loop_
_symmetry_equiv_pos_as_xyz
'x,y,z'
'-x,-y,-z'
'-y+1/2,x,z'
'y+1/2,-x,-z'
'-x+1/2,-y+1/2,z'
'x+1/2,y+1/2,-z'
'y,-x+1/2,z'
'-y,x+1/2,-z'
'x+1/2,-y,-z'
'-x+1/2,y,z'
'-y,-x,-z'
'y,x,z'
'-x,y+1/2,-z'
'x,-y+1/2,z'
'y+1/2,x+1/2,-z'
'-y+1/2,-x+1/2,z'
loop_
_atom_site_label
_atom_site_fract_x
_atom_site_fract_y
_atom_site_fract_z
Ca1 0.2500 0.2500 0.1371
Tm1 0.2500 0.7500 0.5000
Si1 0.2500 0.2500 0.7362
```

Values from the calculation:
The raw total energy is -26.33 eV per cell. The calculation puts the energy relative to the elements, uncorrected at -0.4237 eV/atom.

---

[3]
DFT (PBE-GGA) results for an optimized crystal structure of CaTmSi.

```
data_CaTmSi
_chemical_formula_sum 'Ca4 Tm4 Si4'
_cell_length_a 6.9090
_cell_length_b 6.9090
_cell_length_c 6.9090
_cell_angle_alpha 90.00
_cell_angle_beta 90.00
_cell_angle_gamma 90.00
_symmetry_space_group_name_H-M 'F -4 3 m'
_symmetry_Int_Tables_number 216
_symmetry_space_group_name_Hall 'F -4 2 3'
loop_
_atom_site_label
_atom_site_fract_x
_atom_site_fract_y
_atom_site_fract_z
Ca1 0.0000 0.0000 0.0000
Tm1 0.0000 0.0000 0.5000
Si1 0.2500 0.2500 0.7500
```

Values from the calculation:
The raw total energy is -52.19 eV per cell. The calculation puts the energy relative to the elements, uncorrected at -0.3839 eV/atom.

---

[4]
DFT (PBE-GGA) results for an optimized crystal structure of CaTmZnSi.

```
data_CaTmZnSi
_chemical_formula_sum 'Ca4 Tm4 Zn4 Si4'
_cell_length_a 7.0637
_cell_length_b 7.0637
_cell_length_c 7.0637
_cell_angle_alpha 90.00
_cell_angle_beta 90.00
_cell_angle_gamma 90.00
_symmetry_space_group_name_H-M 'F -4 3 m'
_symmetry_Int_Tables_number 216
_symmetry_space_group_name_Hall 'F -4 2 3'
loop_
_atom_site_label
_atom_site_fract_x
_atom_site_fract_y
_atom_site_fract_z
Ca1 0.0000 0.0000 0.0000
Tm1 0.0000 0.0000 0.5000
Zn1 0.2500 0.2500 0.7500
Si1 0.2500 0.2500 0.2500
```

Values from the calculation:
The raw total energy is -58.29 eV per cell. The calculation puts the energy relative to the elements, uncorrected at -0.3506 eV/atom.

---

[5]
DFT (PBE-GGA) results for an optimized crystal structure of CaUSi.

```
data_CaUSi
_chemical_formula_sum 'Ca2 U2 Si2'
_cell_length_a 4.0731
_cell_length_b 4.0731
_cell_length_c 8.5360
_cell_angle_alpha 90.00
_cell_angle_beta 90.00
_cell_angle_gamma 90.00
_symmetry_space_group_name_H-M 'P 4/n m m'
_symmetry_Int_Tables_number 129
loop_
_symmetry_equiv_pos_as_xyz
'x,y,z'
'-x,-y,-z'
'-y+1/2,x,z'
'y+1/2,-x,-z'
'-x+1/2,-y+1/2,z'
'x+1/2,y+1/2,-z'
'y,-x+1/2,z'
'-y,x+1/2,-z'
'x+1/2,-y,-z'
'-x+1/2,y,z'
'-y,-x,-z'
'y,x,z'
'-x,y+1/2,-z'
'x,-y+1/2,z'
'y+1/2,x+1/2,-z'
'-y+1/2,-x+1/2,z'
loop_
_atom_site_label
_atom_site_fract_x
_atom_site_fract_y
_atom_site_fract_z
Ca1 0.2500 0.2500 0.1393
U1 0.2500 0.7500 0.5000
Si1 0.2500 0.2500 0.7507
```

Values from the calculation:
The raw total energy is -38.82 eV per cell. The calculation puts the energy relative to the elements, uncorrected at -0.2325 eV/atom.

---

[6]
DFT (PBE-GGA) results for an optimized crystal structure of Ca2V2Si.

```
data_Ca2V2Si
_chemical_formula_sum 'Ca4 V4 Si2'
_cell_length_a 6.5456
_cell_length_b 6.5456
_cell_length_c 5.0188
_cell_angle_alpha 90.00
_cell_angle_beta 90.00
_cell_angle_gamma 90.00
_symmetry_space_group_name_H-M 'P 4/m b m'
_symmetry_Int_Tables_number 127
_symmetry_space_group_name_Hall '-P 4 2ab'
loop_
_atom_site_label
_atom_site_fract_x
_atom_site_fract_y
_atom_site_fract_z
Ca1 0.1781 0.3219 0.0000
V1 0.1310 0.6310 0.5000
Si1 0.0000 0.0000 0.5000
```

Values from the calculation:
The raw total energy is -52.28 eV per cell. The calculation puts the energy relative to the elements, uncorrected at 0.3043 eV/atom. The energy above the most stable polymorph in this dataset is 0.0 meV per atom.

---

The highest raw total energy belongs to which entry?
number 2

---

raw total energy of number 4 (CaTmZnSi)?
-58.29 eV per cell

---

Number 3 is which compound?
CaTmSi